(1)
# Zr5Tl3, relaxed, DFT GGA-PBEsol
# Offset from the most stable computed form = 0.076 eV per formula unit
data_Zr5Tl3
_cell_length_a 8.4591
_cell_length_b 8.4591
_cell_length_c 5.7929
_cell_angle_alpha 90.00
_cell_angle_beta 90.00
_cell_angle_gamma 120.00
_symmetry_space_group_name_H-M 'P 63/m c m'
_symmetry_Int_Tables_number 193
_symmetry_space_group_name_Hall '-P 6c 2'
loop_
_atom_site_label
_atom_site_type_symbol
_atom_site_fract_x
_atom_site_fract_y
_atom_site_fract_z
Zr1 Zr 0.0000 0.2357 0.2500
Zr2 Zr 0.3333 0.6667 0.0000
Tl1 Tl 0.0000 0.3939 0.7500



(2)
# LiCd, relaxed, DFT GGA-PBEsol
# E_tot = -3.4 eV per formula unit
data_LiCd
_cell_length_a 3.0187
_cell_length_b 3.0187
_cell_length_c 9.8427
_cell_angle_alpha 90.00
_cell_angle_beta 90.00
_cell_angle_gamma 120.00
_symmetry_space_group_name_H-M 'P -3 m 1'
_symmetry_Int_Tables_number 164
_symmetry_space_group_name_Hall '-P 3 2"'
loop_
_atom_site_label
_atom_site_type_symbol
_atom_site_fract_x
_atom_site_fract_y
_atom_site_fract_z
Li1 Li 0.3333 0.6667 0.1263
Cd1 Cd 0.3333 0.6667 0.6344



(3)
# ZnCdRe2, relaxed, DFT GGA-PBEsol
# Offset from the most stable computed form = 0.703 eV per formula unit
data_ZnCdRe2
_cell_length_a 3.735
_cell_length_b 3.735
_cell_length_c 8.871
_cell_angle_alpha 90.00
_cell_angle_beta 90.00
_cell_angle_gamma 90.00
_symmetry_space_group_name_H-M 'I 4/m m m'
_symmetry_Int_Tables_number 139
_symmetry_space_group_name_Hall '-I 4 2'
loop_
_atom_site_label
_atom_site_type_symbol
_atom_site_fract_x
_atom_site_fract_y
_atom_site_fract_z
Zn1 Zn 0.000 0.000 0.000
Cd1 Cd 0.000 0.000 0.500
Re1 Re 0.000 0.500 0.250



(4)
# K2TcBr, relaxed, DFT GGA-PBEsol
# Offset from the most stable computed form = 1.134 eV per formula unit
data_K2TcBr
_cell_length_a 5.117
_cell_length_b 5.873
_cell_length_c 9.087
_cell_angle_alpha 90.00
_cell_angle_beta 90.00
_cell_angle_gamma 90.00
_symmetry_space_group_name_H-M 'I m m m'
_symmetry_Int_Tables_number 71
_symmetry_space_group_name_Hall '-I 2 2'
loop_
_atom_site_label
_atom_site_type_symbol
_atom_site_fract_x
_atom_site_fract_y
_atom_site_fract_z
K1 K 0.000 0.000 0.233
Tc1 Tc 0.000 0.500 0.000
Br1 Br 0.000 0.500 0.500



(5)
# HgRu, relaxed, DFT GGA-PBEsol
# E_tot = -9.6 eV per formula unit
data_HgRu
_cell_length_a 2.840
_cell_length_b 4.777
_cell_length_c 10.006
_cell_angle_alpha 90.00
_cell_angle_beta 90.00
_cell_angle_gamma 90.00
_symmetry_space_group_name_H-M 'I m m a'
_symmetry_Int_Tables_number 74
_symmetry_space_group_name_Hall '-I 2b 2'
loop_
_atom_site_label
_atom_site_type_symbol
_atom_site_fract_x
_atom_site_fract_y
_atom_site_fract_z
Hg1 Hg 0.000 0.250 0.110
Ru1 Ru 0.000 0.250 0.648



(6)
# NiIO2F, relaxed, DFT GGA-PBEsol
# E_tot = -21.2 eV per formula unit
data_NiIO2F
_cell_length_a 3.525
_cell_length_b 3.525
_cell_length_c 6.777
_cell_angle_alpha 90.00
_cell_angle_beta 90.00
_cell_angle_gamma 90.00
_symmetry_space_group_name_H-M 'P 4/m m m'
_symmetry_Int_Tables_number 123
_symmetry_space_group_name_Hall '-P 4 2'
loop_
_atom_site_label
_atom_site_type_symbol
_atom_site_fract_x
_atom_site_fract_y
_atom_site_fract_z
Ni1 Ni 0.000 0.000 0.000
I1 I 0.000 0.000 0.500
O1 O 0.000 0.500 0.000
F1 F 0.500 0.500 0.500